Below is an optimized crystal structure of CeY2Al, with properties calculated at the PBE level.

abc: 4.622 4.820 4.820
angles: 90.00 90.00 90.00
Last column: magnetic moment on the atom in μB.
Positions (direct):
Y1 0.000 0.000 0.500  0.03
Y2 0.000 0.500 0.000  0.03
Al1 0.500 0.500 0.500  -0.01
Ce1 0.500 0.000 0.000  0.31

Symmetry   P4/mmm
Size of the total moment   0.443 μB/f.u.
N(E_F)   7.634 states/eV/cell
Formation energy from the elements   -0.1357 eV/atom

---

Below is an optimized crystal structure of CeYAl4, with properties calculated at the PBE level.

abc: 5.606 5.606 5.606
angles: 60.00 60.00 60.00
Last column: magnetic moment on the atom in μB.
Positions (direct):
Ce1 0.250 0.250 0.250  0.52
Y1 0.000 0.000 0.000  0.00
Al1 0.624 0.624 0.127  0.00
Al2 0.624 0.127 0.624  0.00
Al3 0.127 0.624 0.624  0.00
Al4 0.624 0.624 0.624  0.00

Symmetry   F-43m
Size of the total moment   0.557 μB/f.u.
N(E_F)   7.647 states/eV/cell
Formation energy from the elements   -0.4708 eV/atom

---

Below is an optimized crystal structure of Ce2YAl9, with properties calculated at the PBE level.

abc: 5.591 5.591 9.431
angles: 72.76 72.76 60.00
Last column: magnetic moment on the atom in μB.
Positions (direct):
Ce1 0.856 0.856 0.432  0.65
Ce2 0.144 0.144 0.568  0.65
Y1 0.000 0.000 0.000  0.00
Al1 0.665 0.665 0.005  0.00
Al2 0.335 0.335 0.995  0.00
Al3 0.500 0.500 0.500  0.00
Al4 0.414 0.414 0.248  0.00
Al5 0.924 0.414 0.248  0.00
Al6 0.414 0.924 0.248  0.00
Al7 0.586 0.586 0.752  0.00
Al8 0.586 0.076 0.752  0.00
Al9 0.076 0.586 0.752  0.00

Symmetry   R-3m
Size of the total moment   1.644 μB/f.u.
N(E_F)   12.153 states/eV/cell
Formation energy from the elements   -0.3406 eV/atom

---

Below is an optimized crystal structure of CeY2Al, with properties calculated at the PBE level.

abc: 3.491 3.491 9.033
angles: 90.00 90.00 90.00
Last column: magnetic moment on the atom in μB.
Positions (direct):
Y1 0.000 0.000 0.785  0.02
Y2 0.000 0.000 0.215  0.02
Al1 0.500 0.500 0.000  0.00
Ce1 0.500 0.500 0.500  0.71

Symmetry   P4/mmm
Size of the total moment   0.930 μB/f.u.
N(E_F)   6.251 states/eV/cell
Formation energy from the elements   -0.1570 eV/atom

---

Below is an optimized crystal structure of CeY2Al, with properties calculated at the PBE level.

abc: 5.317 5.317 5.317
angles: 60.00 60.00 60.00
Positions (direct):
Y1 0.250 0.250 0.250
Y2 0.750 0.750 0.750
Al1 0.500 0.500 0.500
Ce1 0.000 0.000 0.000

Symmetry   Fm-3m
Size of the total moment   0.001 μB/f.u.
N(E_F)   6.128 states/eV/cell
Formation energy from the elements   0.0008 eV/atom

---

Below is an optimized crystal structure of Ce2YAl, with properties calculated at the PBE level.

abc: 4.287 4.427 11.316
angles: 100.12 90.00 90.00
Positions (direct):
Ce1 0.750 0.394 0.878
Ce2 0.250 0.606 0.122
Ce3 0.250 0.990 0.881
Ce4 0.750 0.010 0.119
Y1 0.250 0.302 0.603
Y2 0.750 0.698 0.397
Al1 0.750 0.828 0.675
Al2 0.250 0.172 0.325

Symmetry   P2_1/m
Size of the total moment   0.000 μB/f.u.
N(E_F)   13.864 states/eV/cell
Formation energy from the elements   -0.1640 eV/atom

---

Below is an optimized crystal structure of Ce2YAl, with properties calculated at the PBE level.

abc: 5.373 5.373 5.373
angles: 60.00 60.00 60.00
Last column: magnetic moment on the atom in μB.
Positions (direct):
Y1 0.500 0.500 0.500  0.26
Al1 0.000 0.000 0.000  -0.01
Ce1 0.250 0.250 0.250  0.73
Ce2 0.750 0.750 0.750  0.73

Symmetry   Fm-3m
Size of the total moment   2.200 μB/f.u.
N(E_F)   12.176 states/eV/cell
Formation energy from the elements   0.0486 eV/atom

---

Below is an optimized crystal structure of Ce2YAl, with properties calculated at the PBE level.

abc: 3.952 3.952 7.144
angles: 90.00 90.00 90.00
Last column: magnetic moment on the atom in μB.
Positions (direct):
Y1 0.500 0.500 0.500  0.02
Al1 0.500 0.500 0.000  0.00
Ce1 0.000 0.000 0.805  0.22
Ce2 0.000 0.000 0.195  0.22

Symmetry   P4/mmm
Size of the total moment   0.553 μB/f.u.
N(E_F)   10.047 states/eV/cell
Formation energy from the elements   -0.0679 eV/atom

---

Q: Among the records above, which one has the highest N(E_F)?
A: number 6